Compound: CaCrGa
Source: the Alexandria database
Functional: GGA-PBE
Structure: optimized geometry

E_form   -38 meV per atom
Total magnetization   0.036 μB/atom

The structure in CIF format:
```
data_CaCrGa
_chemical_formula_sum 'Ca6 Cr6 Ga6'
_cell_length_a 4.205
_cell_length_b 4.205
_cell_length_c 28.290
_cell_angle_alpha 90.00
_cell_angle_beta 90.00
_cell_angle_gamma 120.00
_space_group_name_H-M_alt 'P 1'
_space_group_IT_number 1
loop_
_space_group_symop_operation_xyz
'x,y,z'
loop_
_atom_site_label
_atom_site_type_symbol
_atom_site_fract_x
_atom_site_fract_y
_atom_site_fract_z
_atom_site_occupancy
Cr1 Cr 0.000 0.000 0.386 1
Cr2 Cr 0.333 0.667 0.053 1
Cr3 Cr 0.667 0.333 0.720 1
Cr4 Cr 0.000 0.000 0.053 1
Cr5 Cr 0.333 0.667 0.720 1
Cr6 Cr 0.667 0.333 0.386 1
Ca1 Ca 0.000 0.000 0.277 1
Ca2 Ca 0.333 0.667 0.943 1
Ca3 Ca 0.667 0.333 0.610 1
Ca4 Ca 0.000 0.000 0.496 1
Ca5 Ca 0.333 0.667 0.162 1
Ca6 Ca 0.667 0.333 0.829 1
Ga1 Ga 0.000 0.000 0.674 1
Ga2 Ga 0.333 0.667 0.341 1
Ga3 Ga 0.667 0.333 0.007 1
Ga4 Ga 0.000 0.000 0.764 1
Ga5 Ga 0.333 0.667 0.431 1
Ga6 Ga 0.667 0.333 0.097 1
```

---

Compound: KTaAu
Source: the Alexandria database
Functional: GGA-PBE
Structure: optimized geometry

E_form   579 meV per atom
Total magnetization   0.000 μB/atom
Excess energy over the best structure of this formula in the dataset   0.0 kJ per mole of atoms

The structure in CIF format:
```
data_KTaAu
_chemical_formula_sum 'K1 Ta1 Au1'
_cell_length_a 8.041
_cell_length_b 8.041
_cell_length_c 8.041
_cell_angle_alpha 158.04
_cell_angle_beta 158.04
_cell_angle_gamma 31.26
_space_group_name_H-M_alt 'P 1'
_space_group_IT_number 1
loop_
_space_group_symop_operation_xyz
'x,y,z'
loop_
_atom_site_label
_atom_site_type_symbol
_atom_site_fract_x
_atom_site_fract_y
_atom_site_fract_z
_atom_site_occupancy
Au1 Au 0.020 0.020 0.000 1
K1 K 0.345 0.345 0.000 1
Ta1 Ta 0.635 0.635 0.000 1
```

---

Compound: ScAg8
Source: the Alexandria database
Functional: GGA-PBE
Structure: optimized geometry

E_form   -4 meV per atom
Total magnetization   0.000 μB/atom
Excess energy over the best structure of this formula in the dataset   3.6 kJ per mole of atoms

The structure in CIF format:
```
data_ScAg8
_chemical_formula_sum 'Sc1 Ag8'
_cell_length_a 3.163
_cell_length_b 7.430
_cell_length_c 7.430
_cell_angle_alpha 87.40
_cell_angle_beta 77.71
_cell_angle_gamma 77.71
_space_group_name_H-M_alt 'P 1'
_space_group_IT_number 1
loop_
_space_group_symop_operation_xyz
'x,y,z'
loop_
_atom_site_label
_atom_site_type_symbol
_atom_site_fract_x
_atom_site_fract_y
_atom_site_fract_z
_atom_site_occupancy
Sc1 Sc 0.000 0.000 0.000 1
Ag1 Ag 0.667 0.000 0.665 1
Ag2 Ag 0.333 0.000 0.335 1
Ag3 Ag 0.000 0.332 0.668 1
Ag4 Ag 0.333 0.335 0.000 1
Ag5 Ag 0.668 0.332 0.332 1
Ag6 Ag 0.667 0.665 0.000 1
Ag7 Ag 0.000 0.668 0.332 1
Ag8 Ag 0.332 0.668 0.668 1
```

---

Compound: YTmHgTe
Source: the Alexandria database
Functional: GGA-PBE
Structure: optimized geometry

Total magnetization   0.000 μB/atom
Raw formation energy   -0.85 eV per atom

The structure in CIF format:
```
data_YTmHgTe
_chemical_formula_sum 'Y1 Tm1 Hg1 Te1'
_cell_length_a 4.110
_cell_length_b 4.110
_cell_length_c 8.150
_cell_angle_alpha 75.40
_cell_angle_beta 75.40
_cell_angle_gamma 60.00
_space_group_name_H-M_alt 'P 1'
_space_group_IT_number 1
loop_
_space_group_symop_operation_xyz
'x,y,z'
loop_
_atom_site_label
_atom_site_type_symbol
_atom_site_fract_x
_atom_site_fract_y
_atom_site_fract_z
_atom_site_occupancy
Y1 Y 0.749 0.749 0.753 1
Tm1 Tm 0.251 0.251 0.246 1
Hg1 Hg 0.998 0.998 0.005 1
Te1 Te 0.501 0.501 0.496 1
```

---

Compound: NiPdI2N
Source: the Alexandria database
Functional: GGA-PBE
Structure: optimized geometry

Total magnetization   0.211 μB/atom
Excess energy over the best structure of this formula in the dataset   34.1 kJ per mole of atoms
Raw formation energy   1.02 eV per atom

The structure in CIF format:
```
data_NiPdI2N
_chemical_formula_sum 'Ni1 Pd1 I2 N1'
_cell_length_a 5.632
_cell_length_b 5.632
_cell_length_c 3.734
_cell_angle_alpha 90.00
_cell_angle_beta 90.00
_cell_angle_gamma 90.00
_space_group_name_H-M_alt 'P 1'
_space_group_IT_number 1
loop_
_space_group_symop_operation_xyz
'x,y,z'
loop_
_atom_site_label
_atom_site_type_symbol
_atom_site_fract_x
_atom_site_fract_y
_atom_site_fract_z
_atom_site_occupancy
I1 I 0.000 0.500 0.000 1
I2 I 0.500 0.000 0.000 1
Ni1 Ni 0.500 0.500 0.500 1
Pd1 Pd 0.000 0.000 0.000 1
N1 N 0.000 0.000 0.500 1
```

---

Compound: Rb2U2TiSe6
Source: the Alexandria database
Functional: GGA-PBE
Structure: optimized geometry

Total magnetization   0.545 μB/atom
Raw formation energy   -1.23 eV per atom

The structure in CIF format:
```
data_Rb2U2TiSe6
_chemical_formula_sum 'Rb2 U2 Ti1 Se6'
_cell_length_a 6.929
_cell_length_b 6.929
_cell_length_c 8.618
_cell_angle_alpha 97.99
_cell_angle_beta 97.99
_cell_angle_gamma 119.54
_space_group_name_H-M_alt 'P 1'
_space_group_IT_number 1
loop_
_space_group_symop_operation_xyz
'x,y,z'
loop_
_atom_site_label
_atom_site_type_symbol
_atom_site_fract_x
_atom_site_fract_y
_atom_site_fract_z
_atom_site_occupancy
Rb1 Rb 0.830 0.170 0.000 1
Rb2 Rb 0.170 0.830 0.000 1
U1 U 0.333 0.667 0.500 1
U2 U 0.667 0.333 0.500 1
Ti1 Ti 0.000 0.000 0.500 1
Se1 Se 0.750 0.750 0.689 1
Se2 Se 0.067 0.381 0.690 1
Se3 Se 0.250 0.250 0.311 1
Se4 Se 0.381 0.067 0.690 1
Se5 Se 0.933 0.619 0.310 1
Se6 Se 0.619 0.933 0.310 1
```

---

Compound: RbPa4Te8
Source: the Alexandria database
Functional: GGA-PBE
Structure: optimized geometry

Total magnetization   0.386 μB/atom
Excess energy over the best structure of this formula in the dataset   0.0 kJ per mole of atoms
Raw formation energy   -0.82 eV per atom

The structure in CIF format:
```
data_RbPa4Te8
_chemical_formula_sum 'Rb2 Pa8 Te16'
_cell_length_a 8.285
_cell_length_b 8.285
_cell_length_c 19.410
_cell_angle_alpha 90.00
_cell_angle_beta 90.00
_cell_angle_gamma 120.00
_space_group_name_H-M_alt 'P 1'
_space_group_IT_number 1
loop_
_space_group_symop_operation_xyz
'x,y,z'
loop_
_atom_site_label
_atom_site_type_symbol
_atom_site_fract_x
_atom_site_fract_y
_atom_site_fract_z
_atom_site_occupancy
Rb1 Rb 0.000 0.000 0.000 1
Rb2 Rb 0.000 0.000 0.500 1
Pa1 Pa 0.498 0.996 0.250 1
Pa2 Pa 0.502 0.498 0.750 1
Pa3 Pa 0.996 0.498 0.750 1
Pa4 Pa 0.004 0.502 0.250 1
Pa5 Pa 0.498 0.502 0.250 1
Pa6 Pa 0.502 0.004 0.750 1
Pa7 Pa 0.000 0.000 0.250 1
Pa8 Pa 0.000 0.000 0.750 1
Te1 Te 0.168 0.335 0.850 1
Te2 Te 0.665 0.832 0.850 1
Te3 Te 0.168 0.832 0.850 1
Te4 Te 0.832 0.168 0.350 1
Te5 Te 0.335 0.168 0.150 1
Te6 Te 0.832 0.665 0.350 1
Te7 Te 0.335 0.168 0.350 1
Te8 Te 0.168 0.335 0.650 1
Te9 Te 0.168 0.832 0.650 1
Te10 Te 0.832 0.168 0.150 1
Te11 Te 0.667 0.333 0.648 1
Te12 Te 0.333 0.667 0.148 1
Te13 Te 0.333 0.667 0.352 1
Te14 Te 0.667 0.333 0.852 1
Te15 Te 0.665 0.832 0.650 1
Te16 Te 0.832 0.665 0.150 1
```

---

Compound: GaTcPt3
Source: the Alexandria database
Functional: GGA-PBE
Structure: optimized geometry

E_form   1036 meV per atom
Total magnetization   0.000 μB/atom
Excess energy over the best structure of this formula in the dataset   15.1 kJ per mole of atoms

The structure in CIF format:
```
data_GaTcPt3
_chemical_formula_sum 'Ga1 Tc1 Pt3'
_cell_length_a 4.835
_cell_length_b 4.835
_cell_length_c 4.835
_cell_angle_alpha 90.00
_cell_angle_beta 90.00
_cell_angle_gamma 90.00
_space_group_name_H-M_alt 'P 1'
_space_group_IT_number 1
loop_
_space_group_symop_operation_xyz
'x,y,z'
loop_
_atom_site_label
_atom_site_type_symbol
_atom_site_fract_x
_atom_site_fract_y
_atom_site_fract_z
_atom_site_occupancy
Ga1 Ga 0.500 0.500 0.500 1
Tc1 Tc 0.000 0.000 0.000 1
Pt1 Pt 0.000 0.500 0.000 1
Pt2 Pt 0.000 0.000 0.500 1
Pt3 Pt 0.500 0.000 0.000 1
```

---

Compound: Pu2Tc3Os
Source: the Alexandria database
Functional: GGA-PBE
Structure: optimized geometry

E_form   -3 meV per atom
Total magnetization   1.457 μB/atom

The structure in CIF format:
```
data_Pu2Tc3Os
_chemical_formula_sum 'Pu2 Tc3 Os1'
_cell_length_a 5.160
_cell_length_b 5.160
_cell_length_c 5.340
_cell_angle_alpha 99.68
_cell_angle_beta 114.72
_cell_angle_gamma 113.16
_space_group_name_H-M_alt 'P 1'
_space_group_IT_number 1
loop_
_space_group_symop_operation_xyz
'x,y,z'
loop_
_atom_site_label
_atom_site_type_symbol
_atom_site_fract_x
_atom_site_fract_y
_atom_site_fract_z
_atom_site_occupancy
Pu1 Pu 0.748 0.377 0.124 1
Pu2 Pu 0.252 0.623 0.876 1
Tc1 Tc 0.500 0.500 0.500 1
Tc2 Tc 0.000 0.000 0.500 1
Tc3 Tc 0.500 0.000 0.500 1
Os1 Os 0.000 0.000 0.000 1
```

---

Compound: LiMn2Ni
Source: the Alexandria database
Functional: GGA-PBE
Structure: optimized geometry

E_form   124 meV per atom
Total magnetization   0.174 μB/atom

The structure in CIF format:
```
data_LiMn2Ni
_chemical_formula_sum 'Li1 Mn2 Ni1'
_cell_length_a 4.064
_cell_length_b 4.064
_cell_length_c 4.064
_cell_angle_alpha 120.26
_cell_angle_beta 120.26
_cell_angle_gamma 89.55
_space_group_name_H-M_alt 'P 1'
_space_group_IT_number 1
loop_
_space_group_symop_operation_xyz
'x,y,z'
loop_
_atom_site_label
_atom_site_type_symbol
_atom_site_fract_x
_atom_site_fract_y
_atom_site_fract_z
_atom_site_occupancy
Li1 Li 0.750 0.250 0.500 1
Mn1 Mn 0.000 0.000 0.000 1
Mn2 Mn 0.250 0.750 0.500 1
Ni1 Ni 0.500 0.500 0.000 1
```

---

Compound: P5W
Source: the Alexandria database
Functional: GGA-PBE
Structure: optimized geometry

E_form   41 meV per atom
Total magnetization   0.000 μB/atom
Excess energy over the best structure of this formula in the dataset   0.0 kJ per mole of atoms

The structure in CIF format:
```
data_P5W
_chemical_formula_sum 'P5 W1'
_cell_length_a 4.936
_cell_length_b 4.936
_cell_length_c 7.751
_cell_angle_alpha 83.34
_cell_angle_beta 83.34
_cell_angle_gamma 37.54
_space_group_name_H-M_alt 'P 1'
_space_group_IT_number 1
loop_
_space_group_symop_operation_xyz
'x,y,z'
loop_
_atom_site_label
_atom_site_type_symbol
_atom_site_fract_x
_atom_site_fract_y
_atom_site_fract_z
_atom_site_occupancy
P1 P 0.985 0.985 0.966 1
P2 P 0.280 0.280 0.280 1
P3 P 0.711 0.711 0.729 1
P4 P 0.637 0.637 0.214 1
P5 P 0.939 0.939 0.692 1
W1 W 0.281 0.281 0.952 1
```

---

Compound: Cs2Ca2Br5
Source: the Alexandria database
Functional: GGA-PBE
Structure: optimized geometry

Total magnetization   0.052 μB/atom
Raw formation energy   -1.69 eV per atom

The structure in CIF format:
```
data_Cs2Ca2Br5
_chemical_formula_sum 'Cs2 Ca2 Br5'
_cell_length_a 5.945
_cell_length_b 8.573
_cell_length_c 8.823
_cell_angle_alpha 110.71
_cell_angle_beta 90.00
_cell_angle_gamma 110.29
_space_group_name_H-M_alt 'P 1'
_space_group_IT_number 1
loop_
_space_group_symop_operation_xyz
'x,y,z'
loop_
_atom_site_label
_atom_site_type_symbol
_atom_site_fract_x
_atom_site_fract_y
_atom_site_fract_z
_atom_site_occupancy
Cs1 Cs 0.397 0.793 0.677 1
Cs2 Cs 0.603 0.207 0.323 1
Ca1 Ca 0.157 0.313 0.899 1
Ca2 Ca 0.843 0.687 0.101 1
Br1 Br 0.350 0.701 0.090 1
Br2 Br 0.650 0.299 0.910 1
Br3 Br 0.154 0.309 0.580 1
Br4 Br 0.846 0.691 0.420 1
Br5 Br 0.000 0.000 0.000 1
```